Record 1
Compound: SrTbCuS3
Source: the Open Quantum Materials Database
Functional: PBE-GGA
Structure: relaxed

Calculated values
The value obtained for the theoretical density is 5.01 g/cm³. For the total energy, the calculation gives -5.34 eV per atom. As for the crystal system: monoclinic.

```
data_SrTbCuS3
_chemical_formula_sum 'Sr2 Tb2 Cu2 S6'
_space_group_name_H-M_alt 'P 1'
_space_group_IT_number 1
_cell_length_a 8.9670
_cell_length_b 8.9670
_cell_length_c 8.0111
_cell_angle_alpha 102.68
_cell_angle_beta 102.68
_cell_angle_gamma 25.43
loop_
_space_group_symop_operation_xyz
'x,y,z'
loop_
_atom_site_label
_atom_site_type_symbol
_atom_site_fract_x
_atom_site_fract_y
_atom_site_fract_z
Sr1 Sr 0.1281 0.1281 0.0711
Sr2 Sr 0.8719 0.8719 0.9289
Tb1 Tb 0.1622 0.1622 0.5839
Tb2 Tb 0.8378 0.8378 0.4161
Cu1 Cu 0.4663 0.4663 0.2881
Cu2 Cu 0.5337 0.5337 0.7119
S1 S 0.0000 0.0000 0.5000
S2 S 0.3250 0.3250 0.6445
S3 S 0.3295 0.3295 0.1793
S4 S 0.5000 0.5000 0.0000
S5 S 0.6705 0.6705 0.8207
S6 S 0.6750 0.6750 0.3555
```

Record 2
Compound: Sr2CuTcS6
Source: the Open Quantum Materials Database
Functional: PBE-GGA
Structure: relaxed

Calculated values
The value obtained for the theoretical density is 4.23 g/cm³. For the total energy, the calculation gives -5.16 eV per atom. As for the crystal system: triclinic.

```
data_Sr2CuTcS6
_chemical_formula_sum 'Sr2 Cu1 Tc1 S6'
_space_group_name_H-M_alt 'P 1'
_space_group_IT_number 1
_cell_length_a 5.9878
_cell_length_b 5.9879
_cell_length_c 7.1629
_cell_angle_alpha 114.58
_cell_angle_beta 114.56
_cell_angle_gamma 90.01
loop_
_space_group_symop_operation_xyz
'x,y,z'
loop_
_atom_site_label
_atom_site_type_symbol
_atom_site_fract_x
_atom_site_fract_y
_atom_site_fract_z
Sr1 Sr 0.0000 0.0000 0.0000
Sr2 Sr 0.4985 0.4996 0.9999
Cu1 Cu 0.1798 0.6796 0.3588
Tc1 Tc 0.7409 0.2417 0.4852
S1 S 0.1288 0.1143 0.5038
S2 S 0.3713 0.3871 0.5033
S3 S 0.5354 0.0350 0.0715
S4 S 0.6142 0.8729 0.5051
S5 S 0.8859 0.6289 0.5026
S6 S 0.9731 0.4747 0.9493
```

Record 3
Compound: SrTmCuTeS2
Source: the Open Quantum Materials Database
Functional: PBE-GGA
Structure: relaxed

Calculated values
The value obtained for the theoretical density is 5.57 g/cm³. For the total energy, the calculation gives -5.03 eV per atom. As for the crystal system: orthorhombic.

```
data_SrTmCuTeS2
_chemical_formula_sum 'Sr2 Tm2 Cu2 Te2 S4'
_space_group_name_H-M_alt 'P 1'
_space_group_IT_number 1
_cell_length_a 7.3673
_cell_length_b 7.3673
_cell_length_c 10.7877
_cell_angle_alpha 90.00
_cell_angle_beta 90.00
_cell_angle_gamma 148.58
loop_
_space_group_symop_operation_xyz
'x,y,z'
loop_
_atom_site_label
_atom_site_type_symbol
_atom_site_fract_x
_atom_site_fract_y
_atom_site_fract_z
Sr1 Sr 0.2105 0.7895 0.7500
Sr2 Sr 0.7895 0.2105 0.2500
Tm1 Tm 0.0000 0.0000 0.0000
Tm2 Tm 0.0000 0.0000 0.5000
Cu1 Cu 0.4815 0.5185 0.2500
Cu2 Cu 0.5185 0.4815 0.7500
Te1 Te 0.1018 0.8982 0.2500
Te2 Te 0.8982 0.1018 0.7500
S1 S 0.3827 0.6173 0.0774
S2 S 0.3827 0.6173 0.4226
S3 S 0.6173 0.3827 0.5774
S4 S 0.6173 0.3827 0.9226
```

Record 4
Compound: SrTmCuTe2S
Source: the Open Quantum Materials Database
Functional: PBE-GGA
Structure: relaxed

Calculated values
The value obtained for the theoretical density is 6.43 g/cm³. For the total energy, the calculation gives -4.72 eV per atom. As for the crystal system: orthorhombic.

```
data_SrTmCuTe2S
_chemical_formula_sum 'Sr2 Tm2 Cu2 Te4 S2'
_space_group_name_H-M_alt 'P 1'
_space_group_IT_number 1
_cell_length_a 7.5113
_cell_length_b 7.5113
_cell_length_c 10.4274
_cell_angle_alpha 90.00
_cell_angle_beta 90.00
_cell_angle_gamma 147.77
loop_
_space_group_symop_operation_xyz
'x,y,z'
loop_
_atom_site_label
_atom_site_type_symbol
_atom_site_fract_x
_atom_site_fract_y
_atom_site_fract_z
Sr1 Sr 0.2212 0.7788 0.7500
Sr2 Sr 0.7788 0.2212 0.2500
Tm1 Tm 0.5000 0.5000 0.0000
Tm2 Tm 0.5000 0.5000 0.5000
Cu1 Cu 0.0196 0.9804 0.2500
Cu2 Cu 0.9804 0.0196 0.7500
Te1 Te 0.1449 0.8551 0.0630
Te2 Te 0.1449 0.8551 0.4370
Te3 Te 0.8551 0.1449 0.5630
Te4 Te 0.8551 0.1449 0.9370
S1 S 0.4355 0.5645 0.2500
S2 S 0.5645 0.4355 0.7500
```

Record 5
Compound: SrYCuTeS2
Source: the Open Quantum Materials Database
Functional: PBE-GGA
Structure: relaxed

Calculated values
The value obtained for the theoretical density is 4.61 g/cm³. For the total energy, the calculation gives -5.38 eV per atom. As for the crystal system: orthorhombic.

```
data_SrYCuTeS2
_chemical_formula_sum 'Sr2 Y2 Cu2 Te2 S4'
_space_group_name_H-M_alt 'P 1'
_space_group_IT_number 1
_cell_length_a 7.3795
_cell_length_b 7.3795
_cell_length_c 10.9018
_cell_angle_alpha 90.00
_cell_angle_beta 90.00
_cell_angle_gamma 148.42
loop_
_space_group_symop_operation_xyz
'x,y,z'
loop_
_atom_site_label
_atom_site_type_symbol
_atom_site_fract_x
_atom_site_fract_y
_atom_site_fract_z
Sr1 Sr 0.2113 0.7887 0.7500
Sr2 Sr 0.7887 0.2113 0.2500
Y1 Y 0.0000 0.0000 0.0000
Y2 Y 0.0000 0.0000 0.5000
Cu1 Cu 0.4814 0.5186 0.2500
Cu2 Cu 0.5186 0.4814 0.7500
Te1 Te 0.1020 0.8980 0.2500
Te2 Te 0.8980 0.1020 0.7500
S1 S 0.3814 0.6186 0.0801
S2 S 0.3814 0.6186 0.4199
S3 S 0.6186 0.3814 0.5801
S4 S 0.6186 0.3814 0.9199
```

Record 6
Compound: SrTmCuS3
Source: the Open Quantum Materials Database
Functional: PBE-GGA
Structure: relaxed

Calculated values
The value obtained for the theoretical density is 5.29 g/cm³. For the total energy, the calculation gives -5.32 eV per atom. As for the crystal system: monoclinic.

```
data_SrTmCuS3
_chemical_formula_sum 'Sr2 Tm2 Cu2 S6'
_space_group_name_H-M_alt 'P 1'
_space_group_IT_number 1
_cell_length_a 8.8335
_cell_length_b 8.8335
_cell_length_c 7.9622
_cell_angle_alpha 102.46
_cell_angle_beta 102.46
_cell_angle_gamma 25.55
loop_
_space_group_symop_operation_xyz
'x,y,z'
loop_
_atom_site_label
_atom_site_type_symbol
_atom_site_fract_x
_atom_site_fract_y
_atom_site_fract_z
Sr1 Sr 0.1298 0.1298 0.0704
Sr2 Sr 0.8702 0.8702 0.9296
Tm1 Tm 0.1622 0.1622 0.5814
Tm2 Tm 0.8378 0.8378 0.4186
Cu1 Cu 0.4673 0.4673 0.2904
Cu2 Cu 0.5327 0.5327 0.7096
S1 S 0.0000 0.0000 0.5000
S2 S 0.3242 0.3242 0.6424
S3 S 0.3280 0.3280 0.1850
S4 S 0.5000 0.5000 0.0000
S5 S 0.6720 0.6720 0.8150
S6 S 0.6758 0.6758 0.3576
```

Record 7
Compound: SrTmCuS3
Source: the Open Quantum Materials Database
Functional: PBE-GGA
Structure: relaxed

Calculated values
The value obtained for the theoretical density is 5.20 g/cm³. For the total energy, the calculation gives -5.39 eV per atom. As for the crystal system: monoclinic.

```
data_SrTmCuS3
_chemical_formula_sum 'Sr2 Tm2 Cu2 S6'
_space_group_name_H-M_alt 'P 1'
_space_group_IT_number 1
_cell_length_a 8.0852
_cell_length_b 3.9021
_cell_length_c 8.7060
_cell_angle_alpha 90.00
_cell_angle_beta 104.52
_cell_angle_gamma 90.00
loop_
_space_group_symop_operation_xyz
'x,y,z'
loop_
_atom_site_label
_atom_site_type_symbol
_atom_site_fract_x
_atom_site_fract_y
_atom_site_fract_z
Sr1 Sr 0.2004 0.2500 0.2481
Sr2 Sr 0.7996 0.7500 0.7519
Tm1 Tm 0.3215 0.7500 0.8372
Tm2 Tm 0.6785 0.2500 0.1628
Cu1 Cu 0.0821 0.2500 0.5897
Cu2 Cu 0.9179 0.7500 0.4103
S1 S 0.0980 0.2500 0.8618
S2 S 0.2237 0.7500 0.5212
S3 S 0.4435 0.7500 0.1599
S4 S 0.5565 0.2500 0.8401
S5 S 0.7763 0.2500 0.4788
S6 S 0.9020 0.7500 0.1382
```

Record 8
Compound: Sr2UCu2S5
Source: the Open Quantum Materials Database
Functional: PBE-GGA
Structure: relaxed

Calculated values
The value obtained for the theoretical density is 5.37 g/cm³. For the total energy, the calculation gives -5.65 eV per atom. As for the crystal system: monoclinic.

```
data_Sr2UCu2S5
_chemical_formula_sum 'Sr2 U1 Cu2 S5'
_space_group_name_H-M_alt 'P 1'
_space_group_IT_number 1
_cell_length_a 6.8362
_cell_length_b 6.8362
_cell_length_c 9.3124
_cell_angle_alpha 115.35
_cell_angle_beta 115.35
_cell_angle_gamma 33.80
loop_
_space_group_symop_operation_xyz
'x,y,z'
loop_
_atom_site_label
_atom_site_type_symbol
_atom_site_fract_x
_atom_site_fract_y
_atom_site_fract_z
Sr1 Sr 0.1713 0.1713 0.2018
Sr2 Sr 0.8287 0.8287 0.7982
U1 U 0.0000 0.0000 0.5000
Cu1 Cu 0.4395 0.4395 0.1991
Cu2 Cu 0.5605 0.5605 0.8009
S1 S 0.1568 0.1568 0.8076
S2 S 0.3842 0.3842 0.5687
S3 S 0.5000 0.5000 0.0000
S4 S 0.6158 0.6158 0.4313
S5 S 0.8432 0.8432 0.1924
```

Record 9
Compound: SrYCuS3
Source: the Open Quantum Materials Database
Functional: PBE-GGA
Structure: relaxed

Calculated values
The value obtained for the theoretical density is 4.16 g/cm³. For the total energy, the calculation gives -5.65 eV per atom. As for the crystal system: monoclinic.

```
data_SrYCuS3
_chemical_formula_sum 'Sr2 Y2 Cu2 S6'
_space_group_name_H-M_alt 'P 1'
_space_group_IT_number 1
_cell_length_a 8.9486
_cell_length_b 8.9486
_cell_length_c 7.9994
_cell_angle_alpha 102.74
_cell_angle_beta 102.74
_cell_angle_gamma 25.46
loop_
_space_group_symop_operation_xyz
'x,y,z'
loop_
_atom_site_label
_atom_site_type_symbol
_atom_site_fract_x
_atom_site_fract_y
_atom_site_fract_z
Sr1 Sr 0.1285 0.1285 0.0705
Sr2 Sr 0.8715 0.8715 0.9295
Y1 Y 0.1624 0.1624 0.5829
Y2 Y 0.8376 0.8376 0.4171
Cu1 Cu 0.4659 0.4659 0.2889
Cu2 Cu 0.5341 0.5341 0.7111
S1 S 0.0000 0.0000 0.5000
S2 S 0.3248 0.3248 0.6455
S3 S 0.3281 0.3281 0.1798
S4 S 0.5000 0.5000 0.0000
S5 S 0.6719 0.6719 0.8202
S6 S 0.6752 0.6752 0.3545
```

Record 10
Compound: SrYCuS3
Source: the Open Quantum Materials Database
Functional: PBE-GGA
Structure: relaxed

Calculated values
The value obtained for the theoretical density is 4.09 g/cm³. For the total energy, the calculation gives -5.72 eV per atom. As for the crystal system: monoclinic.

```
data_SrYCuS3
_chemical_formula_sum 'Sr2 Y2 Cu2 S6'
_space_group_name_H-M_alt 'P 1'
_space_group_IT_number 1
_cell_length_a 8.2263
_cell_length_b 3.9332
_cell_length_c 8.6898
_cell_angle_alpha 90.00
_cell_angle_beta 103.96
_cell_angle_gamma 90.00
loop_
_space_group_symop_operation_xyz
'x,y,z'
loop_
_atom_site_label
_atom_site_type_symbol
_atom_site_fract_x
_atom_site_fract_y
_atom_site_fract_z
Sr1 Sr 0.1915 0.2500 0.2400
Sr2 Sr 0.8085 0.7500 0.7600
Y1 Y 0.3254 0.7500 0.8336
Y2 Y 0.6746 0.2500 0.1664
Cu1 Cu 0.0838 0.2500 0.5883
Cu2 Cu 0.9162 0.7500 0.4117
S1 S 0.1020 0.2500 0.8624
S2 S 0.2168 0.7500 0.5143
S3 S 0.4387 0.7500 0.1631
S4 S 0.5613 0.2500 0.8369
S5 S 0.7832 0.2500 0.4857
S6 S 0.8980 0.7500 0.1376
```

Record 11
Compound: TaTlCuS3
Source: the Open Quantum Materials Database
Functional: PBE-GGA
Structure: relaxed

Calculated values
The value obtained for the theoretical density is 7.55 g/cm³. For the total energy, the calculation gives -5.57 eV per atom. As for the crystal system: orthorhombic.

```
data_TaTlCuS3
_chemical_formula_sum 'Ta4 Tl4 Cu4 S12'
_space_group_name_H-M_alt 'P 1'
_space_group_IT_number 1
_cell_length_a 11.9342
_cell_length_b 3.5108
_cell_length_c 11.4447
_cell_angle_alpha 90.00
_cell_angle_beta 90.00
_cell_angle_gamma 90.00
loop_
_space_group_symop_operation_xyz
'x,y,z'
loop_
_atom_site_label
_atom_site_type_symbol
_atom_site_fract_x
_atom_site_fract_y
_atom_site_fract_z
Ta1 Ta 0.0353 0.2500 0.1240
Ta2 Ta 0.4647 0.7500 0.6240
Ta3 Ta 0.5353 0.2500 0.3760
Ta4 Ta 0.9647 0.7500 0.8760
Tl1 Tl 0.1378 0.2500 0.5150
Tl2 Tl 0.3622 0.7500 0.0150
Tl3 Tl 0.6378 0.2500 0.9850
Tl4 Tl 0.8622 0.7500 0.4850
Cu1 Cu 0.2314 0.7500 0.3120
Cu2 Cu 0.2686 0.2500 0.8120
Cu3 Cu 0.7314 0.7500 0.1880
Cu4 Cu 0.7686 0.2500 0.6880
S1 S 0.0374 0.7500 0.2799
S2 S 0.1083 0.2500 0.9236
S3 S 0.2380 0.2500 0.1754
S4 S 0.2620 0.7500 0.6754
S5 S 0.3917 0.7500 0.4236
S6 S 0.4626 0.2500 0.7799
S7 S 0.5374 0.7500 0.2201
S8 S 0.6083 0.2500 0.5764
S9 S 0.7380 0.2500 0.3246
S10 S 0.7620 0.7500 0.8246
S11 S 0.8917 0.7500 0.0764
S12 S 0.9626 0.2500 0.7201
```

Record 12
Compound: TbCuS2
Source: the Open Quantum Materials Database
Functional: PBE-GGA
Structure: relaxed

Calculated values
The value obtained for the theoretical density is 5.07 g/cm³. For the total energy, the calculation gives -5.34 eV per atom. As for the crystal system: tetragonal.

```
data_TbCuS2
_chemical_formula_sum 'Tb2 Cu2 S4'
_space_group_name_H-M_alt 'P 1'
_space_group_IT_number 1
_cell_length_a 7.1245
_cell_length_b 7.1245
_cell_length_c 7.1245
_cell_angle_alpha 133.40
_cell_angle_beta 133.40
_cell_angle_gamma 68.03
loop_
_space_group_symop_operation_xyz
'x,y,z'
loop_
_atom_site_label
_atom_site_type_symbol
_atom_site_fract_x
_atom_site_fract_y
_atom_site_fract_z
Tb1 Tb 0.0000 0.0000 0.0000
Tb2 Tb 0.7500 0.2500 0.5000
Cu1 Cu 0.2500 0.7500 0.5000
Cu2 Cu 0.5000 0.5000 0.0000
S1 S 0.1659 0.1250 0.5409
S2 S 0.3750 0.8341 0.9591
S3 S 0.5841 0.6250 0.4591
S4 S 0.8750 0.4159 0.0409
```